ZrTcCl2 | PBE | optimized geometry

Calculated values
Offset from the most stable computed form in meV per atom: 521
Symmetry: Pmmm
Energy relative to the elements, uncorrected in eV per atom: -0.03

Unit cell a=3.010 b=4.363 c=5.534 alpha=90.00 beta=90.00 gamma=90.00
Positions (direct):
Zr: 0.000 0.000 0.000
Tc: 0.500 0.000 0.500
Cl: 0.000 0.500 0.500
Cl: 0.500 0.500 0.000

TePd3Pb | PBE | optimized geometry

Calculated values
Offset from the most stable computed form in meV per atom: 864
Symmetry: Pm-3m
Energy relative to the elements, uncorrected in eV per atom: 0.59

Unit cell a=5.065 b=5.065 c=5.065 alpha=90.00 beta=90.00 gamma=90.00
Positions (direct):
Te: 0.000 0.000 0.000
Pd: 0.000 0.500 0.500
Pd: 0.500 0.000 0.500
Pd: 0.500 0.500 0.000
Pb: 0.500 0.500 0.500

SbMoPb2 | PBE | optimized geometry

Calculated values
Symmetry: I-42d
Energy relative to the elements, uncorrected in eV per atom: 1.03

Unit cell a=8.377 b=8.377 c=8.377 alpha=134.49 beta=134.49 gamma=66.33
Positions (direct):
Sb: 0.000 0.000 0.000
Sb: 0.750 0.250 0.500
Mo: 0.250 0.750 0.500
Mo: 0.500 0.500 0.000
Pb: 0.159 0.625 0.034
Pb: 0.375 0.409 0.534
Pb: 0.591 0.125 0.966
Pb: 0.875 0.841 0.466

AcLuIrRu | PBE | optimized geometry

Calculated values
Symmetry: F-43m
DFT formation energy in eV/atom: -0.334

Unit cell a=4.986 b=4.986 c=4.986 alpha=60.00 beta=60.00 gamma=60.00
Positions (direct):
Ac: 0.000 0.000 0.000
Lu: 0.500 0.500 0.500
Ir: 0.250 0.250 0.250
Ru: 0.750 0.750 0.750

Sr2In3Hg6 | PBE | optimized geometry

Calculated values
Symmetry: Cmmm
DFT formation energy in eV/atom: -0.232

Unit cell a=9.105 b=9.105 c=4.196 alpha=90.00 beta=90.00 gamma=112.80
Positions (direct):
Sr: 0.210 0.210 0.000
Sr: 0.790 0.790 0.000
In: 0.257 0.743 0.000
In: 0.500 0.500 0.500
In: 0.743 0.257 0.000
Hg: 0.112 0.888 0.500
Hg: 0.149 0.469 0.500
Hg: 0.469 0.149 0.500
Hg: 0.531 0.851 0.500
Hg: 0.851 0.531 0.500
Hg: 0.888 0.112 0.500

InSnOs3 | PBE | optimized geometry

Calculated values
Offset from the most stable computed form in meV per atom: 0
Symmetry: Pm-3m
DFT formation energy in eV/atom: 2.358

Unit cell a=4.835 b=4.835 c=4.835 alpha=90.00 beta=90.00 gamma=90.00
Positions (direct):
In: 0.000 0.000 0.000
Sn: 0.500 0.500 0.500
Os: 0.000 0.500 0.500
Os: 0.500 0.000 0.500
Os: 0.500 0.500 0.000

Cs2BeGePt | PBE | optimized geometry

Calculated values
Symmetry: P4/mmm
DFT formation energy in eV/atom: 0.525

Unit cell a=7.104 b=7.104 c=4.637 alpha=90.00 beta=90.00 gamma=90.00
Positions (direct):
Cs: 0.000 0.500 0.000
Cs: 0.500 0.000 0.000
Be: 0.000 0.000 0.500
Ge: 0.500 0.500 0.000
Pt: 0.500 0.500 0.500

NiPtCl2 | PBE | optimized geometry

Calculated values
Offset from the most stable computed form in meV per atom: 355
Symmetry: P4mm
Energy relative to the elements, uncorrected in eV per atom: 0.14

Unit cell a=3.496 b=3.496 c=7.028 alpha=90.00 beta=90.00 gamma=90.00
Positions (direct):
Ni: 0.000 0.000 0.000
Pt: 0.500 0.500 0.071
Cl: 0.000 0.000 0.303
Cl: 0.500 0.500 0.745

ThNbFe | PBE | optimized geometry

Calculated values
Symmetry: C2/m
DFT formation energy in eV/atom: 0.114

Unit cell a=4.027 b=4.027 c=9.437 alpha=102.21 beta=102.21 gamma=59.95
Positions (direct):
Th: 0.121 0.121 0.359
Th: 0.879 0.879 0.641
Nb: 0.367 0.367 0.100
Nb: 0.633 0.633 0.900
Fe: 0.263 0.263 0.793
Fe: 0.737 0.737 0.207

CeEr4Os2 | PBE | optimized geometry

Calculated values
Symmetry: P2_1/m
DFT formation energy in eV/atom: -0.179

Unit cell a=7.724 b=6.265 c=8.016 alpha=90.00 beta=113.35 gamma=90.00
Positions (direct):
Ce: 0.036 0.250 0.169
Ce: 0.964 0.750 0.831
Er: 0.241 0.503 0.583
Er: 0.241 0.997 0.583
Er: 0.329 0.750 0.252
Er: 0.384 0.250 0.015
Er: 0.616 0.750 0.985
Er: 0.671 0.250 0.748
Er: 0.759 0.003 0.417
Er: 0.759 0.497 0.417
Os: 0.022 0.250 0.740
Os: 0.404 0.250 0.367
Os: 0.596 0.750 0.633
Os: 0.978 0.750 0.260

BaAlCdSi | PBE | optimized geometry

Calculated values
Symmetry: P4/nmm
Energy relative to the elements, uncorrected in eV per atom: -0.28

Unit cell a=4.224 b=4.224 c=12.590 alpha=90.00 beta=90.00 gamma=90.00
Positions (direct):
Ba: 0.250 0.250 0.241
Ba: 0.750 0.750 0.759
Al: 0.250 0.750 0.000
Al: 0.750 0.250 0.000
Cd: 0.250 0.750 0.500
Cd: 0.750 0.250 0.500
Si: 0.250 0.250 0.883
Si: 0.750 0.750 0.117

Ba2CdTcAg | PBE | optimized geometry

Calculated values
Symmetry: P4/mmm
DFT formation energy in eV/atom: 0.670

Unit cell a=6.305 b=6.305 c=5.100 alpha=90.00 beta=90.00 gamma=90.00
Positions (direct):
Ba: 0.000 0.500 0.000
Ba: 0.500 0.000 0.000
Cd: 0.000 0.000 0.500
Tc: 0.500 0.500 0.500
Ag: 0.500 0.500 0.000

no.,final energy (eV per cell)
1,-22.74
2,-19.47
3,-36.54
4,-28.10
5,-15.94
6,-28.64
7,-13.46
8,-14.97
9,-51.22
10,-95.80
11,-26.23
12,-14.63